<1>
A plane-wave DFT calculation with PBE was carried out for a relaxed K2NF crystal.

Fermi-level density of states   0.8800 states/eV per atom

a b c (Å): 6.7771 6.7771 6.7771
angles (deg): 90.00 90.00 90.00
Last column: nearest neighbours and their distance in Å.
Space group Fm-3m (No. 225)
One atom of each set of equivalent atoms:
1 K 0.2500 0.2500 0.2500  4 F 2.93, 4 N 2.93
2 N 0.0000 0.0000 0.0000  8 K 2.93
3 F 0.0000 0.0000 0.5000  8 K 2.93

<2>
A plane-wave DFT calculation with PBE was carried out for a relaxed K2NF crystal.

Fermi-level density of states   0.2512 states/eV per atom

a b c (Å): 7.0443 7.0443 8.1713
angles (deg): 90.00 90.00 90.00
Last column: nearest neighbours and their distance in Å.
Space group I-42d (No. 122)
One atom of each set of equivalent atoms:
1 K 0.2204 0.2500 0.1250  2 F 2.56, 2 N 2.83
2 N 0.0000 0.0000 0.5000  4 K 2.83
3 F 0.0000 0.0000 0.0000  4 K 2.56

Most stable structure - <2>; separation to the second - 71 meV/atom.